Run P
A relaxed structure of Al2BiF. Source: the Alexandria database, functional PBE-GGA.

Summary:
SG: I-42d (122)
Volume in A^3/atom: 22.07

a b c (Å): 5.0110 5.0110 7.8750
angles (deg): 71.45 71.45 90.00
Last column: nearest neighbours and their distance in Å.
Fractional coordinates of all 8 atoms:
F 0.5000 0.5000 0.0000  4 Al 2.23
F 0.2500 0.7500 0.5000  4 Al 2.23
Bi 0.0000 0.0000 0.0000  4 Al 2.91
Bi 0.7500 0.2500 0.5000  4 Al 2.91
Al 0.4850 0.1250 0.2500  2 F 2.23
Al 0.2650 0.6250 0.2500  2 F 2.23
Al 0.3750 0.5150 0.7500  2 F 2.23
Al 0.8750 0.7350 0.7500  2 F 2.23

Run Q
A relaxed structure of Al2BiF. Source: the Alexandria database, functional PBE-GGA.

Summary:
SG: Fm-3m (225)
Volume in A^3/atom: 20.27

a b c (Å): 4.8582 4.8582 4.8582
angles (deg): 60.00 60.00 60.00
Last column: nearest neighbours and their distance in Å.
Fractional coordinates of all 4 atoms:
F 0.0000 0.0000 0.0000  8 Al 2.98
Bi 0.5000 0.5000 0.5000  8 Al 2.98
Al 0.2500 0.2500 0.2500  4 F 2.98, 4 Bi 2.98
Al 0.7500 0.7500 0.7500  4 Bi 2.98, 4 F 2.98

run P is preferred energetically. Next in line: 15.7 kJ/mol of atoms higher.